ZrIn2Os | PBE-GGA | optimized geometry

Cell lengths 4.774, 4.774, 4.774 Å; angles 60.00, 60.00, 60.00 degrees
Sites, in units of the cell vectors:
1 In 0.000 0.000 0.000
2 Zr 0.250 0.250 0.250
3 In 0.750 0.750 0.750
4 Os 0.500 0.500 0.500

SG: F-43m
Total DFT energy (no corrections) in eV per atom: -6.227
Spin magnetization in μB per atom: 0.000
Density in Mg/m³: 11.0

***

ThNpTe | PBE-GGA | optimized geometry

Cell lengths 5.166, 5.166, 5.166 Å; angles 60.00, 60.00, 60.00 degrees
Sites, in units of the cell vectors:
1 Te 0.000 0.000 0.000
2 Np 0.250 0.250 0.250
3 Th 0.750 0.750 0.750

SG: F-43m
Total DFT energy (no corrections) in eV per atom: -7.640
Spin magnetization in μB per atom: 1.887
Density in Mg/m³: 10.2

***

Zr2H3 | PBE-GGA | optimized geometry

Cell lengths 5.849, 5.849, 5.849 Å; angles 132.28, 69.95, 132.08 degrees
Sites, in units of the cell vectors:
1 Zr 0.619 0.264 0.883
2 H 0.500 0.250 0.250
3 H 0.000 0.250 0.750
4 H 0.000 0.750 0.250
5 H 0.250 0.750 0.500
6 Zr 0.381 0.736 0.117
7 Zr 0.881 0.764 0.644
8 H 0.750 0.250 0.500
9 Zr 0.119 0.236 0.356
10 H 0.500 0.750 0.750

SG: Ibam
ΔE to the lowest computed polymorph in kcal/mol of atoms: 0.14
Total DFT energy (no corrections) in eV per atom: -5.938
Spin magnetization in μB per atom: 0.000
Density in Mg/m³: 5.7

***

HoTe2O4 | PBE-GGA | optimized geometry

Cell lengths 6.945, 6.945, 6.945 Å; angles 120.10, 89.83, 120.10 degrees
Sites, in units of the cell vectors:
1 Te 0.375 0.750 0.125
2 O 0.618 0.745 0.873
3 O 0.622 0.245 0.377
4 Te 0.375 0.250 0.625
5 Te 0.875 0.250 0.625
6 O 0.127 0.255 0.382
7 Te 0.375 0.750 0.625
8 O 0.127 0.745 0.872
9 O 0.623 0.245 0.868
10 Ho 0.750 0.500 0.250
11 O 0.128 0.255 0.873
12 O 0.623 0.755 0.378
13 O 0.132 0.755 0.377
14 Ho 0.000 0.000 0.000

SG: I4_1/amd
Total DFT energy (no corrections) in eV per atom: -5.445
Spin magnetization in μB per atom: 0.000
Density in Mg/m³: 6.8